*A*
# PBE MnBeB, relaxed
data_MnBeB
_space_group_name_H-M_alt 'P 1'
_space_group_IT_number 1
_space_group_name_Hall 'P 1'
_cell_length_a 4.0827
_cell_length_b 4.0827
_cell_length_c 4.0827
_cell_angle_alpha 143.31
_cell_angle_beta 143.31
_cell_angle_gamma 52.87
loop_
_atom_site_label
_atom_site_fract_x
_atom_site_fract_y
_atom_site_fract_z
Mn1 0.0000 0.0000 0.0000
Be1 0.3066 0.3066 0.0000
B1 0.6460 0.6460 0.0000
# - spin magnetization (μB per atom) = 0.000
# - calculated volume (Å³/cell) = 24.2
# - space group = I4mm (107)

***

*B*
# PBE MnBeB, relaxed
data_MnBeB
_space_group_name_H-M_alt 'P 1'
_space_group_IT_number 1
_space_group_name_Hall 'P 1'
_cell_length_a 5.8289
_cell_length_b 5.8289
_cell_length_c 5.8289
_cell_angle_alpha 94.33
_cell_angle_beta 94.33
_cell_angle_gamma 148.09
loop_
_atom_site_label
_atom_site_fract_x
_atom_site_fract_y
_atom_site_fract_z
Mn1 0.0000 0.2065 0.2065
Mn2 0.0000 0.7935 0.7935
Mn3 0.2065 0.0000 0.2065
Mn4 0.7935 0.0000 0.7935
Be1 0.1216 0.5000 0.6216
Be2 0.5000 0.1216 0.6216
Be3 0.5000 0.8784 0.3784
Be4 0.8784 0.5000 0.3784
B1 0.2884 0.2884 0.5768
B2 0.2884 0.7116 0.0000
B3 0.7116 0.2884 0.0000
B4 0.7116 0.7116 0.4232
# - spin magnetization (μB per atom) = 0.417
# - calculated volume (Å³/cell) = 100.6
# - space group = I4/mmm (139)

***

*C*
# PBE MnBeB, relaxed
data_MnBeB
_space_group_name_H-M_alt 'P 1'
_space_group_IT_number 1
_space_group_name_Hall 'P 1'
_cell_length_a 6.2802
_cell_length_b 6.2802
_cell_length_c 2.8071
_cell_angle_alpha 90.00
_cell_angle_beta 90.00
_cell_angle_gamma 154.15
loop_
_atom_site_label
_atom_site_fract_x
_atom_site_fract_y
_atom_site_fract_z
Mn1 0.0932 0.9068 0.7500
Mn2 0.9068 0.0932 0.2500
Be1 0.2928 0.7072 0.7500
Be2 0.7072 0.2928 0.2500
B1 0.4575 0.5425 0.7500
B2 0.5425 0.4575 0.2500
# - spin magnetization (μB per atom) = 0.000
# - calculated volume (Å³/cell) = 48.3
# - space group = Cmcm (63)

***

Compare the structures above. Which one is the most stable? *C* is.